Entry 1:
Here is a geometry-optimized La8Pm2Dy3 structure from Alexandria. Energies are from PBE-GGA.

Output
Total DFT energy (no corrections) ... -60.9 eV/cell
Distance to the lowest polymorph of the same formula ... 0 meV/atom
Formation enthalpy at 0 K ... 0.14 eV per atom
SG ... No. 12
Density of states at the Fermi level ... 20.91 states/eV per cell

Structure (POSCAR):
```
La8Pm2Dy3
1.0
6.844 -5.947 0.000
6.844 5.947 0.000
-2.471 0.000 5.688
La Pm Dy
8 2 3
Direct
0.083 0.083 0.243
0.100 0.574 0.846
0.362 0.362 0.387
0.426 0.900 0.154
0.574 0.100 0.846
0.638 0.638 0.613
0.900 0.426 0.154
0.917 0.917 0.757
0.188 0.188 0.830
0.812 0.812 0.170
0.232 0.768 0.500
0.500 0.500 0.000
0.768 0.232 0.500
```



Entry 2:
Here is a geometry-optimized ReHg2Pb structure from Alexandria. Energies are from PBE-GGA.

Output
Total DFT energy (no corrections) ... -13.3 eV/cell
Formation enthalpy at 0 K ... 0.86 eV per atom
SG ... No. 10
Density of states at the Fermi level ... 2.23 states/eV per cell

Structure (POSCAR):
```
ReHg2Pb
1.0
3.032 0.000 0.000
0.000 5.296 0.000
-1.469 0.000 5.443
Re Hg Pb
1 2 1
Direct
0.000 0.000 0.000
0.348 0.500 0.232
0.652 0.500 0.768
0.000 0.000 0.500
```



Entry 3:
Here is a geometry-optimized NiAsRu structure from Alexandria. Energies are from PBE-GGA.

Output
Total DFT energy (no corrections) ... -19.4 eV/cell
Distance to the lowest polymorph of the same formula ... 299 meV/atom
Formation enthalpy at 0 K ... 0.12 eV per atom
SG ... No. 44
Density of states at the Fermi level ... 4.17 states/eV per cell

Structure (POSCAR):
```
NiAsRu
1.0
-1.483 1.820 3.791
1.483 -1.820 3.791
1.483 1.820 -3.791
Ni As Ru
1 1 1
Direct
0.000 0.000 0.000
0.324 0.324 0.000
0.657 0.657 0.000
```